Record 1
! ZrSbSe2 PBE-GGA relaxed; values from VASP
! - Space group: No. 99
! - E_tot: -21.94 eV per cell
! - Crystal system: tetragonal
! - Formation energy (no corrections): -576 meV/atom
&SYSTEM
  ibrav = 0, nat = 4, ntyp = 3
/
ATOMIC_SPECIES
Zr 91.22 Zr.upf
Sb 121.76 Sb.upf
Se 78.96 Se.upf
ATOMIC_POSITIONS crystal
Zr 0.000 0.000 0.000
Sb 0.500 0.500 0.296
Se 0.000 0.000 0.534
Se 0.500 0.500 0.843
CELL_PARAMETERS angstrom
3.612 0.000 0.000
0.000 3.612 0.000
0.000 0.000 6.764



Record 2
! ZrSbSe2 PBE-GGA relaxed; values from VASP
! - Space group: No. 166
! - E_tot: -22.90 eV per cell
! - Crystal system: trigonal
! - Formation energy (no corrections): -814 meV/atom
&SYSTEM
  ibrav = 0, nat = 4, ntyp = 3
/
ATOMIC_SPECIES
Zr 91.22 Zr.upf
Sb 121.76 Sb.upf
Se 78.96 Se.upf
ATOMIC_POSITIONS crystal
Zr 0.000 0.000 0.000
Sb 0.500 0.500 0.500
Se 0.395 0.395 0.395
Se 0.605 0.605 0.605
CELL_PARAMETERS angstrom
1.823 1.052 9.171
-1.823 1.052 9.171
0.000 -2.105 9.171



Record 3
! ZrSbSe2 PBE-GGA relaxed; values from VASP
! - Space group: No. 65
! - E_tot: -21.47 eV per cell
! - Crystal system: orthorhombic
! - Formation energy (no corrections): -458 meV/atom
&SYSTEM
  ibrav = 0, nat = 4, ntyp = 3
/
ATOMIC_SPECIES
Zr 91.22 Zr.upf
Sb 121.76 Sb.upf
Se 78.96 Se.upf
ATOMIC_POSITIONS crystal
Zr 0.000 0.000 0.000
Sb 0.500 0.500 0.000
Se 0.210 0.790 0.500
Se 0.790 0.210 0.500
CELL_PARAMETERS angstrom
3.152 -4.632 0.000
3.152 4.632 0.000
0.000 0.000 3.561



Record 4
! ZrSbSe PBE-GGA relaxed; values from VASP
! - Space group: No. 44
! - E_tot: -18.39 eV per cell
! - Crystal system: orthorhombic
! - Formation energy (no corrections): -743 meV/atom
&SYSTEM
  ibrav = 0, nat = 3, ntyp = 3
/
ATOMIC_SPECIES
Zr 91.22 Zr.upf
Sb 121.76 Sb.upf
Se 78.96 Se.upf
ATOMIC_POSITIONS crystal
Zr 0.000 0.000 0.000
Sb 0.317 0.317 0.000
Se 0.612 0.612 0.000
CELL_PARAMETERS angstrom
-1.782 1.788 5.285
1.782 -1.788 5.285
1.782 1.788 -5.285



Record 5
! ZrSbSe4 PBE-GGA relaxed; values from VASP
! - Space group: No. 216
! - Energy relative to the lowest polymorph listed for this composition: 106.77 kJ per mole of atoms
! - E_tot: -24.35 eV per cell
! - Crystal system: cubic
! - Formation energy (no corrections): 376 meV/atom
&SYSTEM
  ibrav = 0, nat = 6, ntyp = 3
/
ATOMIC_SPECIES
Zr 91.22 Zr.upf
Sb 121.76 Sb.upf
Se 78.96 Se.upf
ATOMIC_POSITIONS crystal
Zr 0.000 0.000 0.000
Sb 0.750 0.750 0.750
Se 0.373 0.373 0.373
Se 0.373 0.373 0.880
Se 0.373 0.880 0.373
Se 0.880 0.373 0.373
CELL_PARAMETERS angstrom
0.000 4.033 4.033
4.033 0.000 4.033
4.033 4.033 0.000



Record 6
! ZrSb4Se PBE-GGA relaxed; values from VASP
! - Space group: No. 216
! - E_tot: -26.55 eV per cell
! - Crystal system: cubic
! - Formation energy (no corrections): 329 meV/atom
&SYSTEM
  ibrav = 0, nat = 6, ntyp = 3
/
ATOMIC_SPECIES
Zr 91.22 Zr.upf
Sb 121.76 Sb.upf
Se 78.96 Se.upf
ATOMIC_POSITIONS crystal
Zr 0.000 0.000 0.000
Sb 0.127 0.624 0.624
Sb 0.624 0.127 0.624
Sb 0.624 0.624 0.127
Sb 0.624 0.624 0.624
Se 0.250 0.250 0.250
CELL_PARAMETERS angstrom
0.000 4.311 4.311
4.311 0.000 4.311
4.311 4.311 0.000



Record 7
! ZrSb3Se PBE-GGA relaxed; values from VASP
! - Space group: No. 221
! - Energy relative to the lowest polymorph listed for this composition: 22.54 kJ per mole of atoms
! - E_tot: -21.24 eV per cell
! - Crystal system: cubic
! - Formation energy (no corrections): 632 meV/atom
&SYSTEM
  ibrav = 0, nat = 5, ntyp = 3
/
ATOMIC_SPECIES
Zr 91.22 Zr.upf
Sb 121.76 Sb.upf
Se 78.96 Se.upf
ATOMIC_POSITIONS crystal
Zr 0.000 0.000 0.000
Sb 0.000 0.500 0.500
Sb 0.500 0.000 0.500
Sb 0.500 0.500 0.000
Se 0.500 0.500 0.500
CELL_PARAMETERS angstrom
5.288 0.000 0.000
0.000 5.288 0.000
0.000 0.000 5.288



Record 8
! ZrSbSe4 PBE-GGA relaxed; values from VASP
! - Space group: No. 14
! - Energy relative to the lowest polymorph listed for this composition: 16.44 kJ per mole of atoms
! - E_tot: -59.94 eV per cell
! - Crystal system: monoclinic
! - Formation energy (no corrections): -560 meV/atom
&SYSTEM
  ibrav = 0, nat = 12, ntyp = 3
/
ATOMIC_SPECIES
Zr 91.22 Zr.upf
Sb 121.76 Sb.upf
Se 78.96 Se.upf
ATOMIC_POSITIONS crystal
Zr 0.000 0.000 0.000
Zr 0.000 0.500 0.500
Sb 0.500 0.000 0.500
Sb 0.500 0.500 0.000
Se 0.120 0.149 0.348
Se 0.120 0.351 0.848
Se 0.359 0.621 0.377
Se 0.359 0.879 0.877
Se 0.641 0.121 0.123
Se 0.641 0.379 0.623
Se 0.880 0.649 0.152
Se 0.880 0.851 0.652
CELL_PARAMETERS angstrom
6.696 0.000 0.000
0.000 6.788 0.000
-0.033 0.000 6.843



Record 9
! ZrSbSe2 PBE-GGA relaxed; values from VASP
! - Space group: No. 12
! - E_tot: -21.91 eV per cell
! - Crystal system: monoclinic
! - Formation energy (no corrections): -568 meV/atom
&SYSTEM
  ibrav = 0, nat = 4, ntyp = 3
/
ATOMIC_SPECIES
Zr 91.22 Zr.upf
Sb 121.76 Sb.upf
Se 78.96 Se.upf
ATOMIC_POSITIONS crystal
Zr 0.000 0.000 0.000
Sb 0.500 0.500 0.500
Se 0.292 0.292 0.799
Se 0.708 0.708 0.201
CELL_PARAMETERS angstrom
4.602 -1.822 0.000
4.602 1.822 0.000
-0.856 0.000 5.673



Record 10
! ZrSbSe4 PBE-GGA relaxed; values from VASP
! - Space group: No. 12
! - Energy relative to the lowest polymorph listed for this composition: 0.00 kJ per mole of atoms
! - E_tot: -30.99 eV per cell
! - Crystal system: monoclinic
! - Formation energy (no corrections): -731 meV/atom
&SYSTEM
  ibrav = 0, nat = 6, ntyp = 3
/
ATOMIC_SPECIES
Zr 91.22 Zr.upf
Sb 121.76 Sb.upf
Se 78.96 Se.upf
ATOMIC_POSITIONS crystal
Zr 0.000 0.000 0.000
Sb 0.500 0.500 0.500
Se 0.119 0.119 0.349
Se 0.384 0.384 0.137
Se 0.616 0.616 0.863
Se 0.881 0.881 0.651
CELL_PARAMETERS angstrom
6.796 -1.914 0.000
6.796 1.914 0.000
-0.797 0.000 6.819



Record 11
! ZrSbSe PBE-GGA relaxed; values from VASP
! - Space group: No. 216
! - E_tot: -17.40 eV per cell
! - Crystal system: cubic
! - Formation energy (no corrections): -414 meV/atom
&SYSTEM
  ibrav = 0, nat = 3, ntyp = 3
/
ATOMIC_SPECIES
Zr 91.22 Zr.upf
Sb 121.76 Sb.upf
Se 78.96 Se.upf
ATOMIC_POSITIONS crystal
Zr 0.000 0.000 0.000
Sb 0.750 0.750 0.750
Se 0.250 0.250 0.250
CELL_PARAMETERS angstrom
0.000 3.425 3.425
3.425 0.000 3.425
3.425 3.425 0.000



Record 12
! Zr2SbSe6 PBE-GGA relaxed; values from VASP
! - Space group: No. 12
! - E_tot: -50.50 eV per cell
! - Crystal system: monoclinic
! - Formation energy (no corrections): -931 meV/atom
&SYSTEM
  ibrav = 0, nat = 9, ntyp = 3
/
ATOMIC_SPECIES
Zr 91.22 Zr.upf
Sb 121.76 Sb.upf
Se 78.96 Se.upf
ATOMIC_POSITIONS crystal
Zr 0.171 0.171 0.340
Zr 0.829 0.829 0.660
Sb 0.500 0.500 0.000
Se 0.012 0.012 0.254
Se 0.327 0.327 0.420
Se 0.337 0.337 0.901
Se 0.663 0.663 0.099
Se 0.673 0.673 0.580
Se 0.988 0.988 0.746
CELL_PARAMETERS angstrom
9.033 -1.901 0.000
9.033 1.901 0.000
-2.519 0.000 7.778